LaVI2O: relaxed, PBE+U.

The space group is P4/mmm (No. 123) and the conventional cell measures 5.906, 5.906 and 3.779 Å, with angles of 90.00, 90.00 and 90.00 degrees. The distinct sites, in fractional coordinates, are La at (0.000, 0.000, 0.000), V at (0.500, 0.500, 0.500), I at (0.000, 0.500, 0.500) and O at (0.500, 0.500, 0.000).

The calculation puts the energy above the most stable polymorph in this dataset at 0 meV per atom. As for the final energy: -0.185 Ha/atom.